An optimized crystal structure of Mn2RuAu, computed with PBE-GGA.

a b c (Å): 4.814 4.814 4.814
angles (deg): 133.22 133.22 68.31
Last column: magnetic moment on the atom in μB.
Fractional positions:
Ru1 0.500 0.500 0.000  -0.36
Au1 0.750 0.250 0.500  0.02
Mn1 0.000 0.000 0.000  3.23
Mn2 0.250 0.750 0.500  2.97

Computed properties:
Its formation energy from the elements is 225 meV/atom. Its size of the total moment is 1.5085 μB/atom. As for the space-group type: I-4m2.